Here is a geometry-optimized V2F7 structure from Alexandria via LeMat-Bulk. Energies are from PBE with a Hubbard U.

Summary:
Spin magnetization   6.000 Bohr magnetons per cell
Energy above the most stable polymorph in this dataset   0.0000 eV per atom
Crystal system   orthorhombic
Volume   281 Å³/cell

Cell: 7.450 7.450 7.450 Å, 124.16 120.33 86.19°
Last column: magnetic moment on the atom in μB.
Element x y z (fractional)
V1 0.500 0.000 0.500  1.03
V2 0.500 0.500 0.500  1.90
V3 0.000 0.500 0.000  1.90
V4 0.000 0.500 0.500  1.03
F1 0.250 0.405 0.155  -0.01
F2 0.193 0.818 0.254  0.01
F3 0.551 0.809 0.258  -0.04
F4 0.750 0.595 0.845  -0.01
F5 0.436 0.182 0.375  0.01
F6 0.449 0.191 0.742  -0.04
F7 0.064 0.440 0.746  0.01
F8 0.051 0.793 0.742  -0.04
F9 0.807 0.182 0.746  0.01
F10 0.307 0.560 0.625  0.01
F11 0.693 0.440 0.375  0.01
F12 0.936 0.560 0.254  0.01
F13 0.949 0.207 0.258  -0.04
F14 0.564 0.818 0.625  0.01